! KSrBr2 GGA-PBE relaxed; values from VASP
&SYSTEM
  ibrav = 0, nat = 4, ntyp = 3
/
ATOMIC_SPECIES
Br 79.90 Br.upf
K 39.10 K.upf
Sr 87.62 Sr.upf
CELL_PARAMETERS angstrom
-1.298 -0.497 5.796
-3.789 -4.434 -1.229
2.879 -2.578 0.424
ATOMIC_POSITIONS crystal
Br 0.000 0.000 0.000
Br 0.500 0.500 0.000
K 0.500 0.000 0.500
Sr 0.000 0.500 0.500
! DOS(E_F): 1.865 states/eV/f.u.
! Space group: P4/mmm (123)
! Total energy: -2.9019 eV per atom
! Energy relative to the lowest polymorph listed for this composition: 176 meV per atom
! Magnetic moment: 0.01 μB per formula unit
! ΔE_f (raw): -1.37 eV per atom

! ZnNiBr GGA-PBE relaxed; values from VASP
&SYSTEM
  ibrav = 0, nat = 6, ntyp = 3
/
ATOMIC_SPECIES
Zn 65.41 Zn.upf
Ni 58.69 Ni.upf
Br 79.90 Br.upf
CELL_PARAMETERS angstrom
2.989 0.000 0.000
0.000 3.366 0.000
0.000 0.000 11.615
ATOMIC_POSITIONS crystal
Zn 0.500 0.000 0.859
Zn 0.500 0.500 0.359
Ni 0.000 0.000 0.261
Ni 0.000 0.500 0.761
Br 0.500 0.000 0.097
Br 0.500 0.500 0.597
! DOS(E_F): 2.309 states/eV/f.u.
! Space group: Amm2 (38)
! Total energy: -2.8273 eV per atom
! Energy relative to the lowest polymorph listed for this composition: 320 meV per atom
! Magnetic moment: 0.28 μB per formula unit
! ΔE_f (raw): 0.08 eV per atom

! Y2Pd5Au5 GGA-PBE relaxed; values from VASP
&SYSTEM
  ibrav = 0, nat = 12, ntyp = 3
/
ATOMIC_SPECIES
Y 88.91 Y.upf
Pd 106.42 Pd.upf
Au 196.97 Au.upf
CELL_PARAMETERS angstrom
4.456 0.000 1.260
1.465 6.184 3.326
-0.103 1.190 8.874
ATOMIC_POSITIONS crystal
Y 0.856 0.511 0.777
Y 0.144 0.489 0.223
Pd 0.926 0.761 0.387
Pd 0.216 0.759 0.809
Pd 0.784 0.241 0.191
Pd 0.074 0.239 0.613
Pd 0.000 0.000 0.000
Au 0.500 0.500 0.500
Au 0.383 0.214 0.020
Au 0.307 0.963 0.422
Au 0.693 0.037 0.578
Au 0.617 0.786 0.980
! DOS(E_F): 3.906 states/eV/f.u.
! Space group: C2/m (12)
! Total energy: -5.1034 eV per atom
! Energy relative to the lowest polymorph listed for this composition: 75 meV per atom
! Magnetic moment: 0.00 μB per formula unit
! E_form: -496.8 meV per atom

! DyYI2 GGA-PBE relaxed; values from VASP
&SYSTEM
  ibrav = 0, nat = 4, ntyp = 3
/
ATOMIC_SPECIES
I 126.90 I.upf
Y 88.91 Y.upf
Dy 162.50 Dy.upf
CELL_PARAMETERS angstrom
-1.119 0.284 -3.673
-3.677 -0.637 -0.948
-3.762 10.201 -0.084
ATOMIC_POSITIONS crystal
I 0.098 0.098 0.707
I 0.902 0.902 0.293
Y 0.500 0.500 0.500
Dy 0.000 0.000 0.000
! DOS(E_F): 3.425 states/eV/f.u.
! Space group: R-3m (166)
! Total energy: -4.1753 eV per atom
! Magnetic moment: 0.00 μB per formula unit
! ΔE_f (raw): -0.63 eV per atom